ZnB4O7: single point on PBEsol structure, meta-GGA SCAN.

Calculated values
- Electronic total energy: -232.7 eV/cell
- Symmetry: Cmcm
- Size of the total moment: 0.0 μB/f.u.
- Formation energy without anion corrections: -2.458 eV/atom
- DOS(E_F): 0.0 states/eV/cell
- Crystal system: orthorhombic
- Density: 4.04 g/cm³

Unit cell a=6.308 b=6.308 c=5.173 alpha=90.00 beta=90.00 gamma=61.88
Sites, in units of the cell vectors:
Zn 0.234 0.766 0.750
Zn 0.766 0.234 0.250
B 0.073 0.692 0.250
B 0.298 0.298 0.000
B 0.298 0.298 0.500
B 0.308 0.927 0.250
B 0.692 0.073 0.750
B 0.702 0.702 0.000
B 0.702 0.702 0.500
B 0.927 0.308 0.750
O 0.077 0.923 0.250
O 0.189 0.556 0.022
O 0.189 0.556 0.478
O 0.197 0.244 0.750
O 0.244 0.197 0.250
O 0.444 0.811 0.022
O 0.444 0.811 0.478
O 0.556 0.189 0.522
O 0.556 0.189 0.978
O 0.756 0.803 0.750
O 0.803 0.756 0.250
O 0.811 0.444 0.522
O 0.811 0.444 0.978
O 0.923 0.077 0.750